The following is a meta-GGA SCAN calculation of a crystal of Tc2AsRh relaxed with PBEsol, from Alexandria.

POSCAR file:
```
Tc2AsRh
1.0
-0.976 -2.033 -1.607
1.122 -2.688 2.718
-4.123 1.293 2.980
As Tc Rh
1 2 1
Direct
0.500 0.500 0.000 As
0.121 0.000 0.754 Tc
0.879 0.000 0.246 Tc
0.500 0.500 0.500 Rh
```

Properties
Magnetization ... 0.000 μB/atom
Symmetry ... P2/m, No. 10
Calculated formation energy ... -0.0044 eV per atom
V ... 14.074 Å³ per atom
Calculated density ... 11.03 Mg/m³
Calculated total energy ... -31.0250 eV per atom